Entry 1:
Entry from the Alexandria database: a geometry-optimized NiTeRu2I structure (PBE-GGA).

Cell lengths 4.9853, 4.6638, 4.9853 Å; angles 90.00, 90.00, 90.00 degrees
Last column: nearest neighbours and their distance in Å.
Fractional positions:
I 0.5000 0.5000 0.5000  8 Ru 3.41, 4 Ni 3.53
Ru 0.0000 0.0000 0.5000  2 Te 2.49
Ru 0.5000 0.0000 0.0000  2 Te 2.49
Te 0.0000 0.0000 0.0000  2 Ni 2.33, 4 Ru 2.49
Ni 0.0000 0.5000 0.0000  2 Te 2.33

Properties
The uncorrected formation energy is 1.25 eV per atom.

=====

Entry 2:
Entry from the Alexandria database: a geometry-optimized NiTeRuI2 structure (PBE-GGA).

Cell lengths 5.2149, 5.2149, 5.0837 Å; angles 90.00, 90.00, 90.00 degrees
Last column: nearest neighbours and their distance in Å.
Fractional positions:
I 0.0000 0.5000 0.0000  2 Ni 2.61
I 0.5000 0.0000 0.0000  2 Ni 2.61
Ru 0.5000 0.5000 0.5000  8 I 3.64, 4 Te 3.69
Te 0.0000 0.0000 0.5000  2 Ni 2.54
Ni 0.0000 0.0000 0.0000  2 Te 2.54, 4 I 2.61

Properties
The uncorrected formation energy is 1.01 eV per atom.

=====

Entry 3:
Entry from the Alexandria database: a geometry-optimized TlNiRu2I structure (PBE-GGA).

Cell lengths 5.0850, 6.2736, 5.0850 Å; angles 90.00, 90.00, 90.00 degrees
Last column: nearest neighbours and their distance in Å.
Fractional positions:
I 0.0000 0.5000 0.0000  2 Tl 3.14
Ru 0.0000 0.0000 0.5000  2 Tl 2.54
Ru 0.5000 0.0000 0.0000  2 Tl 2.54
Tl 0.0000 0.0000 0.0000  4 Ru 2.54
Ni 0.5000 0.5000 0.5000  4 I 3.60

Properties
The uncorrected formation energy is 2.31 eV per atom.